No. 1
# LiCd2Ag2

A crystal of LiCd2Ag2 relaxed with PBEsol (SCAN, Alexandria). Values from VASP.

Values from the calculation:
**Crystal system**: tetragonal
**ΔH_f (0 K)**: 49 meV/atom

Quantum ESPRESSO input file:
```
&SYSTEM
  ibrav = 0, nat = 5, ntyp = 3
/
ATOMIC_SPECIES
Li 6.94 Li.upf
Cd 112.41 Cd.upf
Ag 107.87 Ag.upf
CELL_PARAMETERS angstrom
-2.024 2.024 6.529
2.024 -2.024 6.529
2.024 2.024 -6.529
ATOMIC_POSITIONS crystal
Li 0.000 0.000 0.000
Cd 0.250 0.750 0.500
Cd 0.750 0.250 0.500
Ag 0.400 0.400 0.000
Ag 0.600 0.600 0.000
```

---

No. 2
# Li2CdAg2

A crystal of Li2CdAg2 relaxed with PBEsol (SCAN, Alexandria). Values from VASP.

Values from the calculation:
**Crystal system**: tetragonal
**ΔH_f (0 K)**: -162 meV/atom

Quantum ESPRESSO input file:
```
&SYSTEM
  ibrav = 0, nat = 10, ntyp = 3
/
ATOMIC_SPECIES
Li 6.94 Li.upf
Cd 112.41 Cd.upf
Ag 107.87 Ag.upf
CELL_PARAMETERS angstrom
7.510 0.000 0.000
0.000 7.510 0.000
0.000 0.000 2.942
ATOMIC_POSITIONS crystal
Li 0.164 0.336 0.000
Li 0.336 0.836 0.000
Li 0.664 0.164 0.000
Li 0.836 0.664 0.000
Cd 0.000 0.000 0.500
Cd 0.500 0.500 0.500
Ag 0.133 0.633 0.500
Ag 0.367 0.133 0.500
Ag 0.633 0.867 0.500
Ag 0.867 0.367 0.500
```

---

No. 3
# LiCd2Ag2

A crystal of LiCd2Ag2 relaxed with PBEsol (SCAN, Alexandria). Values from VASP.

Values from the calculation:
**Crystal system**: tetragonal
**ΔH_f (0 K)**: -88 meV/atom

Quantum ESPRESSO input file:
```
&SYSTEM
  ibrav = 0, nat = 10, ntyp = 3
/
ATOMIC_SPECIES
Li 6.94 Li.upf
Cd 112.41 Cd.upf
Ag 107.87 Ag.upf
CELL_PARAMETERS angstrom
8.031 0.000 0.000
0.000 8.031 0.000
0.000 0.000 3.014
ATOMIC_POSITIONS crystal
Li 0.000 0.000 0.000
Li 0.500 0.500 0.000
Cd 0.133 0.367 0.000
Cd 0.367 0.867 0.000
Cd 0.633 0.133 0.000
Cd 0.867 0.633 0.000
Ag 0.165 0.665 0.500
Ag 0.335 0.165 0.500
Ag 0.665 0.835 0.500
Ag 0.835 0.335 0.500
```

---

Asked for N(E_F) across the records above, the calculation gives 0.28 0.30 0.29 states/eV per atom in order.